Version A
An optimized crystal structure of CsNa3As, computed with GGA-PBE.

Computed properties:
M_tot in μB/f.u.: 0.0
Space-group type: Pm-3m (221)

a b c (Å): 5.8679 5.8679 5.8679
angles (deg): 90.00 90.00 90.00
With the nearest neighbours (Å) after each atom.
Sites, in units of the cell vectors:
Na 0.0000 0.5000 0.0000  2 As 2.93
Na 0.0000 0.0000 0.5000  2 As 2.93
Na 0.5000 0.0000 0.0000  2 As 2.93
As 0.0000 0.0000 0.0000  6 Na 2.93
Cs 0.5000 0.5000 0.5000  12 Na 4.15

---

Version B
An optimized crystal structure of CsNa3As, computed with GGA-PBE.

Computed properties:
M_tot in μB/f.u.: 0.0
Space-group type: Pm-3m (221)

a b c (Å): 6.0808 6.0808 6.0808
angles (deg): 90.00 90.00 90.00
With the nearest neighbours (Å) after each atom.
Sites, in units of the cell vectors:
Cs 0.0000 0.0000 0.0000  6 Na 3.04
As 0.5000 0.5000 0.5000  12 Na 4.30
Na 0.5000 0.0000 0.0000  2 Cs 3.04
Na 0.0000 0.0000 0.5000  2 Cs 3.04
Na 0.0000 0.5000 0.0000  2 Cs 3.04

---

Which one sits at the bottom of the stability order? version B does.

---

Version A
An optimized crystal structure of CsNaAs, computed with GGA-PBE.

Computed properties:
M_tot in μB/f.u.: 0.1
Space-group type: P-6m2 (187)

a b c (Å): 4.0084 5.4657 5.4657
angles (deg): 120.00 90.00 90.00
With the nearest neighbours (Å) after each atom.
Sites, in units of the cell vectors:
Cs 0.6666 0.3333 0.6667  6 Na 3.74, 6 As 3.74, 2 Cs 4.01
As 0.1666 0.0000 0.0000  3 Na 3.16
Na 0.1669 0.6667 0.3333  3 As 3.16

---

Version B
An optimized crystal structure of CsNaAs, computed with GGA-PBE.

Computed properties:
M_tot in μB/f.u.: 0.0
Space-group type: C2/m (12)

a b c (Å): 4.9323 10.1869 14.9783
angles (deg): 128.17 90.00 104.01
With the nearest neighbours (Å) after each atom.
Sites, in units of the cell vectors:
As 0.8048 0.6097 0.2185  3 Na 2.81-2.87
As 0.1952 0.3903 0.7815  3 Na 2.81-2.87
As 0.2746 0.5492 0.4893  2 As 2.74, 1 Na 2.93
As 0.7254 0.4508 0.5107  2 As 2.74, 1 Na 2.93
Na 0.2916 0.5832 0.6981  2 As 2.87-2.93
Na 0.7084 0.4168 0.3019  2 As 2.87-2.93
Na 0.6667 0.3333 0.6720  2 As 2.81
Na 0.3333 0.6667 0.3280  2 As 2.81
Cs 0.0448 0.0897 0.3906  4 As 3.68-3.78, 3 Na 4.05-4.09
Cs 0.8403 0.6805 0.0009  3 As 3.62-3.74, 1 Na 3.81
Cs 0.9552 0.9103 0.6094  4 As 3.68-3.78, 3 Na 4.05-4.09
Cs 0.1597 0.3195 0.9991  3 As 3.62-3.74, 1 Na 3.81

---

Which one sits at the bottom of the stability order? version A does.

---

Version A
An optimized crystal structure of CsNaAs, computed with GGA-PBE.

Computed properties:
M_tot in μB/f.u.: 0.0
Space-group type: P-1 (2)

a b c (Å): 4.8300 5.3454 12.0950
angles (deg): 94.34 89.86 116.86
With the nearest neighbours (Å) after each atom.
Sites, in units of the cell vectors:
Cs 0.8201 0.6441 0.2813  3 As 3.62-3.88, 3 Na 3.95-4.03
Cs 0.1799 0.3559 0.7187  3 As 3.62-3.88, 3 Na 3.95-4.03
Na 0.1505 0.3019 0.0496  5 As 3.02-3.16, 3 Na 3.03-3.35
Na 0.8495 0.6981 0.9504  5 As 3.02-3.16, 3 Na 3.03-3.35
As 0.5337 0.0660 0.9008  1 As 2.53
As 0.4663 0.9340 0.0992  1 As 2.53

---

Version B
An optimized crystal structure of CsNaAs, computed with GGA-PBE.

Computed properties:
M_tot in μB/f.u.: 0.0
Space-group type: R-3m (166)

a b c (Å): 5.0909 5.0909 12.5483
angles (deg): 78.30 78.30 60.00
With the nearest neighbours (Å) after each atom.
Sites, in units of the cell vectors:
Cs 0.7378 0.7378 0.7866  3 As 3.69, 4 Na 4.11-4.12
Cs 0.2622 0.2622 0.2134  3 As 3.69, 4 Na 4.11-4.12
Na 0.8502 0.8502 0.4495  3 As 3.01, 3 Na 3.19
Na 0.1498 0.1498 0.5505  3 As 3.01, 3 Na 3.19
As 0.4653 0.4653 0.6041  1 As 2.54
As 0.5347 0.5347 0.3959  1 As 2.54

---

Which one sits at the bottom of the stability order? version B does.

---

Version A
An optimized crystal structure of CsNa2AsPt, computed with GGA-PBE.

Computed properties:
M_tot in μB/f.u.: 0.0
Space-group type: P4/mmm (123)

a b c (Å): 5.6790 5.6790 4.8066
angles (deg): 90.00 90.00 90.00
With the nearest neighbours (Å) after each atom.
Sites, in units of the cell vectors:
As 0.0000 0.0000 0.0000  2 Pt 2.40
Cs 0.5000 0.5000 0.5000  8 Na 3.72, 4 Pt 4.02
Pt 0.0000 0.0000 0.5000  2 As 2.40
Na 0.5000 0.0000 0.0000  2 As 2.84
Na 0.0000 0.5000 0.0000  2 As 2.84

---

Version B
An optimized crystal structure of CsNa2AsPt, computed with GGA-PBE.

Computed properties:
M_tot in μB/f.u.: 0.0
Space-group type: P4/mmm (123)

a b c (Å): 5.6933 5.6933 4.7507
angles (deg): 90.00 90.00 90.00
With the nearest neighbours (Å) after each atom.
Sites, in units of the cell vectors:
As 0.0000 0.0000 0.5000  2 Pt 2.38
Cs 0.5000 0.5000 0.5000  8 Na 3.71, 4 As 4.03
Na 0.5000 0.0000 0.0000  2 Pt 2.85
Na 0.0000 0.5000 0.0000  2 Pt 2.85
Pt 0.0000 0.0000 0.0000  2 As 2.38

---

Which one sits at the bottom of the stability order? version A does.

---

Version A
An optimized crystal structure of CsNaAsSe2, computed with GGA-PBE.

Computed properties:
M_tot in μB/f.u.: 0.0
Space-group type: Cmme (67)

a b c (Å): 6.9368 5.7684 8.6572
angles (deg): 109.46 90.00 90.00
With the nearest neighbours (Å) after each atom.
Sites, in units of the cell vectors:
Se 0.2574 0.3866 0.7732  1 As 2.57
Se 0.7426 0.6134 0.2268  1 As 2.57
Se 0.7426 0.8866 0.7732  1 As 2.57
Se 0.2574 0.1134 0.2268  1 As 2.57
As 0.0000 0.5000 0.0000  2 Se 2.57
As 0.0000 0.0000 0.0000  2 Se 2.57
Cs 0.2437 0.7500 0.5000  4 Se 3.65
Cs 0.7563 0.2500 0.5000  4 Se 3.65
Na 0.5000 0.2500 0.0000  2 Na 2.88, 4 Se 2.89
Na 0.5000 0.7500 0.0000  2 Na 2.88, 4 Se 2.89

---

Version B
An optimized crystal structure of CsNaAsSe2, computed with GGA-PBE.

Computed properties:
M_tot in μB/f.u.: 3.3
Space-group type: P4/mmm (123)

a b c (Å): 6.2399 6.2399 6.1204
angles (deg): 90.00 90.00 90.00
With the nearest neighbours (Å) after each atom.
Sites, in units of the cell vectors:
Se 0.0000 0.5000 0.0000  2 Cs 3.12
Se 0.5000 0.0000 0.0000  2 Cs 3.12
As 0.0000 0.0000 0.5000  2 Cs 3.06
Na 0.5000 0.5000 0.5000  8 Se 4.37, 4 As 4.41
Cs 0.0000 0.0000 0.0000  2 As 3.06, 4 Se 3.12

---

Version C
An optimized crystal structure of CsNaAsSe2, computed with GGA-PBE.

Computed properties:
M_tot in μB/f.u.: 0.0
Space-group type: P4/mmm (123)

a b c (Å): 5.4849 5.4849 5.2930
angles (deg): 90.00 90.00 90.00
With the nearest neighbours (Å) after each atom.
Sites, in units of the cell vectors:
Se 0.5000 0.0000 0.0000  2 Na 2.74
Se 0.0000 0.5000 0.0000  2 Na 2.74
Na 0.0000 0.0000 0.0000  2 As 2.65, 4 Se 2.74
Cs 0.5000 0.5000 0.5000  8 Se 3.81, 4 As 3.88
As 0.0000 0.0000 0.5000  2 Na 2.65

---

Which one sits at the bottom of the stability order? version B does.

---

Version A
An optimized crystal structure of CsNa2TlAs, computed with GGA-PBE.

Computed properties:
M_tot in μB/f.u.: 0.0
Space-group type: P4/mmm (123)

a b c (Å): 5.7026 5.7026 6.1545
angles (deg): 90.00 90.00 90.00
With the nearest neighbours (Å) after each atom.
Sites, in units of the cell vectors:
Tl 0.0000 0.0000 0.5000  2 As 3.08
As 0.0000 0.0000 0.0000  4 Na 2.85, 2 Tl 3.08
Na 0.5000 0.0000 0.0000  2 As 2.85
Na 0.0000 0.5000 0.0000  2 As 2.85
Cs 0.5000 0.5000 0.5000  4 Tl 4.03, 8 Na 4.20

---

Version B
An optimized crystal structure of CsNa2TlAs, computed with GGA-PBE.

Computed properties:
M_tot in μB/f.u.: 0.6
Space-group type: P4/mmm (123)

a b c (Å): 6.0066 5.4988 6.0066
angles (deg): 90.00 90.00 90.00
With the nearest neighbours (Å) after each atom.
Sites, in units of the cell vectors:
Tl 0.0000 0.0000 0.0000  2 As 2.75, 4 Na 3.00
As 0.0000 0.5000 0.0000  2 Tl 2.75
Cs 0.5000 0.5000 0.5000  8 Na 4.07, 4 As 4.25
Na 0.0000 0.0000 0.5000  2 Tl 3.00
Na 0.5000 0.0000 0.0000  2 Tl 3.00

---

Version C
An optimized crystal structure of CsNa2TlAs, computed with GGA-PBE.

Computed properties:
M_tot in μB/f.u.: 0.0
Space-group type: P4/mmm (123)

a b c (Å): 6.3547 5.9757 6.3547
angles (deg): 90.00 90.00 90.00
With the nearest neighbours (Å) after each atom.
Sites, in units of the cell vectors:
As 0.0000 0.5000 0.0000  2 Cs 2.99
Na 0.5000 0.0000 0.0000  2 Cs 3.18
Na 0.0000 0.0000 0.5000  2 Cs 3.18
Cs 0.0000 0.0000 0.0000  2 As 2.99, 4 Na 3.18
Tl 0.5000 0.5000 0.5000  8 Na 4.36, 4 As 4.49

---

Which one sits at the bottom of the stability order? version C does.